[1]
Entry from the Alexandria database: Ho4In after structural relaxation (PBE).

Cell: 5.6923 5.6923 5.6923 Å, 90.00 90.00 90.00°
Last column: nearest neighbours and their distance in Å.
Space group Pm-3m (No. 221)
One atom of each set of equivalent atoms:
Ho 0.0000 0.0000 0.0000 [1 per cell]  12 Ho 4.03
Ho 0.0000 0.5000 0.5000 [3 per cell]  2 In 2.85
In 0.5000 0.5000 0.5000 [1 per cell]  6 Ho 2.85

For the formation enthalpy at 0 K, the calculation gives 0.430 eV per atom.

---

[2]
Entry from the Alexandria database: AcGdAg2 after structural relaxation (PBE).

Cell: 7.6640 7.6640 7.6640 Å, 90.00 90.00 90.00°
Last column: nearest neighbours and their distance in Å.
Space group Fm-3m (No. 225)
One atom of each set of equivalent atoms:
Ac 0.0000 0.0000 0.0000 [4 per cell]  8 Ag 3.32
Gd 0.0000 0.0000 0.5000 [4 per cell]  8 Ag 3.32
Ag 0.2500 0.2500 0.2500 [8 per cell]  4 Gd 3.32, 4 Ac 3.32

For the formation enthalpy at 0 K, the calculation gives -0.245 eV per atom.